KCdRu2W | PBE | relaxed

Structure (POSCAR):
```
KCdRu2W
1.0
-2.573 2.665 -2.690
-3.676 -0.719 2.803
1.183 3.655 2.489
Ru Cd W K
2 1 1 1
direct
0.000 0.000 0.500 Ru
0.500 0.000 0.000 Ru
0.500 0.500 0.500 Cd
0.000 0.500 0.000 W
0.000 0.000 0.000 K
```

Calculated values
**Magnetic moment**: 0.0 μB per formula unit
**Total energy**: -3.661 eV/atom
**V**: 98.0 Å³/f.u.